Model one:
# PBE SrSi2W, optimized geometry
data_SrSi2W
_space_group_name_H-M_alt 'P m m m'
_space_group_IT_number 47
_cell_length_a 3.245
_cell_length_b 3.279
_cell_length_c 7.153
_cell_angle_alpha 90.00
_cell_angle_beta 90.00
_cell_angle_gamma 90.00
loop_
_space_group_symop_operation_xyz
'x,y,z'
'-x,-y,-z'
'-x,-y,z'
'x,y,-z'
'x,-y,-z'
'-x,y,z'
'-x,y,-z'
'x,-y,z'
loop_
_atom_site_label
_atom_site_fract_x
_atom_site_fract_y
_atom_site_fract_z
Sr1 0.000 0.000 0.000
Si1 0.500 0.500 0.320
W1 0.000 0.000 0.500
# * spin magnetization: 0.0 μB/cell

---

Model two:
# PBE SrSi2W, optimized geometry
data_SrSi2W
_space_group_name_H-M_alt 'C 1 2/m 1'
_space_group_IT_number 12
_cell_length_a 8.248
_cell_length_b 3.595
_cell_length_c 6.019
_cell_angle_alpha 90.00
_cell_angle_beta 106.89
_cell_angle_gamma 90.00
loop_
_space_group_symop_operation_xyz
'x,y,z'
'-x,-y,-z'
'-x,y,-z'
'x,-y,z'
'x+1/2,y+1/2,z'
'-x+1/2,-y+1/2,-z'
'-x+1/2,y+1/2,-z'
'x+1/2,-y+1/2,z'
loop_
_atom_site_label
_atom_site_fract_x
_atom_site_fract_y
_atom_site_fract_z
Sr1 0.000 0.000 0.000
Si1 0.227 0.000 0.628
W1 0.000 0.500 0.500
# * spin magnetization: 0.0 μB/cell

---

Last place for stability: model one